VASP calculation (GGA-PBE) on a relaxed Ba4Mg3Zn crystal.

Cell lengths 4.6272, 5.4773, 13.2327 Å; angles 90.00, 90.00, 90.00 degrees
With the nearest neighbours (Å) after each atom.
Positions (direct):
Ba1 0.5000 0.5000 0.3390  1 Zn 3.68, 6 Mg 3.74-3.80
Ba2 0.0000 0.5000 0.8668  2 Zn 3.46, 4 Mg 3.72
Ba3 0.0000 0.0000 0.1429  3 Mg 3.53-3.86, 4 Zn 3.75
Ba4 0.5000 0.0000 0.6536  7 Mg 3.71-3.80
Mg1 0.0000 0.5000 0.5609  2 Mg 3.21
Mg2 0.0000 0.0000 0.4349  2 Mg 3.21
Mg3 0.5000 0.0000 0.9411  2 Zn 3.16, 2 Ba 3.53
Zn1 0.5000 0.5000 0.0608  2 Mg 3.16, 2 Ba 3.46

Values from the calculation:
E_tot in eV/atom: -1.753
Density of states at the Fermi level in states/eV per cell: 7.97
E_form in eV/f.u.: -0.274

---

VASP calculation (GGA-PBE) on a relaxed Ba2CdRhI crystal.

Cell lengths 6.0215, 6.0215, 5.2638 Å; angles 90.00, 90.00, 90.00 degrees
With the nearest neighbours (Å) after each atom.
Positions (direct):
I1 0.5000 0.5000 0.5000  8 Ba 4.00, 4 Cd 4.26
Rh1 0.0000 0.0000 0.0000  2 Cd 2.63
Ba1 0.0000 0.5000 0.0000  2 Rh 3.01
Ba2 0.5000 0.0000 0.0000  2 Rh 3.01
Cd1 0.0000 0.0000 0.5000  2 Rh 2.63

Values from the calculation:
E_tot in eV/atom: -3.372
Raw formation energy in meV/atom: -640
Density of states at the Fermi level in states/eV per cell: 3.17

---

VASP calculation (GGA-PBE) on a relaxed TlCd2Au crystal.

Cell lengths 7.3737, 9.2218, 6.0259 Å; angles 90.00, 113.96, 90.00 degrees
With the nearest neighbours (Å) after each atom.
Positions (direct):
Tl1 0.5000 0.1844 0.5000  2 Au 2.96, 2 Tl 3.25, 2 Cd 3.26
Tl2 0.5000 0.8156 0.5000  2 Au 2.96, 2 Tl 3.25, 2 Cd 3.26
Tl3 0.5000 0.6844 0.0000  2 Au 2.96, 2 Tl 3.25, 2 Cd 3.26
Tl4 0.5000 0.3156 0.0000  2 Au 2.96, 2 Tl 3.25, 2 Cd 3.26
Au1 0.1406 0.0000 0.3288  7 Cd 2.85-3.19, 2 Tl 2.96
Au2 0.8594 0.0000 0.6712  7 Cd 2.85-3.19, 2 Tl 2.96
Au3 0.1406 0.5000 0.8288  7 Cd 2.85-3.19, 2 Tl 2.96
Au4 0.8594 0.5000 0.1712  7 Cd 2.85-3.19, 2 Tl 2.96
Cd1 0.2829 0.0000 0.8940  3 Au 2.85-3.19, 1 Cd 2.93
Cd2 0.7171 0.0000 0.1060  3 Au 2.85-3.19, 1 Cd 2.93
Cd3 0.2829 0.5000 0.3940  3 Au 2.85-3.19, 1 Cd 2.93
Cd4 0.7171 0.5000 0.6060  3 Au 2.85-3.19, 1 Cd 2.93
Cd5 0.0000 0.7539 0.0000  4 Au 2.91, 2 Cd 3.01
Cd6 0.0000 0.2461 0.0000  4 Au 2.91, 2 Cd 3.01
Cd7 0.0000 0.2539 0.5000  4 Au 2.91, 2 Cd 3.01
Cd8 0.0000 0.7461 0.5000  4 Au 2.91, 2 Cd 3.01

Values from the calculation:
E_tot in eV/atom: -1.936
Density of states at the Fermi level in states/eV per cell: 4.26
E_form in eV/f.u.: -0.270

---

VASP calculation (GGA-PBE) on a relaxed YCd2Re crystal.

Cell lengths 5.5370, 5.5370, 5.4856 Å; angles 74.18, 74.18, 31.69 degrees
With the nearest neighbours (Å) after each atom.
Positions (direct):
Cd1 0.0170 0.0170 0.9505  5 Cd 2.90-3.08, 2 Re 2.98
Cd2 0.7800 0.7800 0.7903  2 Re 2.88, 5 Cd 2.90-3.08, 4 Y 3.17-3.20
Re1 0.4795 0.4795 0.4341  4 Cd 2.88-2.98, 3 Y 2.92-2.95, 2 Re 3.02
Y1 0.2235 0.2235 0.3251  3 Re 2.92-2.95, 2 Y 3.02, 4 Cd 3.17-3.20

Values from the calculation:
E_tot in eV/atom: -4.820
Density of states at the Fermi level in states/eV per cell: 2.21
E_form in eV/f.u.: 1.462

---

VASP calculation (GGA-PBE) on a relaxed Li2NiAgN crystal.

Cell lengths 4.1163, 4.1163, 3.5710 Å; angles 90.00, 90.00, 90.00 degrees
With the nearest neighbours (Å) after each atom.
Positions (direct):
Ni1 0.0000 0.0000 0.5000  2 N 1.79
Li1 0.0000 0.5000 0.0000  2 N 2.06
Li2 0.5000 0.0000 0.0000  2 N 2.06
Ag1 0.5000 0.5000 0.5000  8 Li 2.72, 4 Ni 2.91
N1 0.0000 0.0000 0.0000  2 Ni 1.79

Values from the calculation:
E_tot in eV/atom: -4.364
Raw formation energy in meV/atom: -207
Density of states at the Fermi level in states/eV per cell: 4.13

---

VASP calculation (GGA-PBE) on a relaxed NaZrPb2 crystal.

Cell lengths 3.4081, 3.4081, 10.6862 Å; angles 80.82, 80.82, 60.00 degrees
With the nearest neighbours (Å) after each atom.
Positions (direct):
Pb1 0.7477 0.7477 0.7570  3 Zr 3.22, 3 Na 3.34, 6 Pb 3.41
Pb2 0.2523 0.2523 0.2430  3 Zr 3.22, 3 Na 3.34, 6 Pb 3.41
Na1 0.5000 0.5000 0.5000  6 Pb 3.34, 6 Na 3.41
Zr1 0.0000 0.0000 0.0000  6 Pb 3.22, 6 Zr 3.41

Values from the calculation:
E_tot in eV/atom: -4.442
Density of states at the Fermi level in states/eV per cell: 2.17
E_form in eV/f.u.: -0.484

---

VASP calculation (GGA-PBE) on a relaxed KLi2Cu crystal.

Cell lengths 6.0761, 6.0761, 3.3361 Å; angles 75.86, 75.86, 116.79 degrees
With the nearest neighbours (Å) after each atom.
Positions (direct):
Cu1 0.5000 0.0000 0.5000  4 Li 3.09, 4 K 3.18-3.37, 2 Cu 3.34
K1 0.0000 0.5000 0.5000  4 Li 3.09, 4 Cu 3.18-3.37, 2 K 3.34
Li1 0.0000 0.0000 0.0000  2 K 3.09, 2 Cu 3.09, 6 Li 3.18-3.37
Li2 0.5000 0.5000 0.0000  2 Cu 3.09, 2 K 3.09, 6 Li 3.18-3.37

Values from the calculation:
E_tot in eV/atom: -1.869
Density of states at the Fermi level in states/eV per cell: 1.94
E_form in eV/f.u.: 1.544

---

VASP calculation (GGA-PBE) on a relaxed FeBAsC crystal.

Cell lengths 2.7861, 2.7864, 7.6456 Å; angles 79.71, 89.53, 60.00 degrees
With the nearest neighbours (Å) after each atom.
Positions (direct):
C1 0.1619 0.9401 0.6300  3 B 1.61
As1 0.3003 0.6421 0.0964  3 Fe 2.44
B1 0.8273 0.6096 0.6256  3 C 1.61
Fe1 0.5606 0.1321 0.8516  3 C 2.31, 3 B 2.33-2.34, 3 As 2.44

Values from the calculation:
E_tot in eV/atom: -7.127
Density of states at the Fermi level in states/eV per cell: 0.92
E_form in eV/f.u.: 0.505

---

VASP calculation (GGA-PBE) on a relaxed AlSnAsBr2 crystal.

Cell lengths 5.6799, 5.6799, 5.3516 Å; angles 90.00, 90.00, 90.00 degrees
With the nearest neighbours (Å) after each atom.
Positions (direct):
As1 0.0000 0.0000 0.5000  2 Sn 2.68
Sn1 0.0000 0.0000 0.0000  2 As 2.68, 4 Br 2.84
Br1 0.0000 0.5000 0.0000  2 Sn 2.84
Br2 0.5000 0.0000 0.0000  2 Sn 2.84
Al1 0.5000 0.5000 0.5000  8 Br 3.90, 4 As 4.02

Values from the calculation:
E_tot in eV/atom: -2.936
Raw formation energy in meV/atom: 213
Density of states at the Fermi level in states/eV per cell: 3.22

---

VASP calculation (GGA-PBE) on a relaxed KPb4 crystal.

Cell lengths 5.9265, 5.9265, 5.9265 Å; angles 90.00, 90.00, 90.00 degrees
With the nearest neighbours (Å) after each atom.
Positions (direct):
Pb1 0.0000 0.0000 0.0000  12 Pb 4.19
Pb2 0.5000 0.0000 0.5000  2 K 2.96
Pb3 0.0000 0.5000 0.5000  2 K 2.96
Pb4 0.5000 0.5000 0.0000  2 K 2.96
K1 0.5000 0.5000 0.5000  6 Pb 2.96

Values from the calculation:
E_tot in eV/atom: -2.337
Density of states at the Fermi level in states/eV per cell: 4.45
E_form in eV/f.u.: 4.244

---

VASP calculation (GGA-PBE) on a relaxed PmScH2 crystal.

Cell lengths 3.4000, 3.4000, 5.9052 Å; angles 73.27, 73.27, 60.00 degrees
With the nearest neighbours (Å) after each atom.
Positions (direct):
Sc1 0.0000 0.0000 0.0000  6 H 2.26
H1 0.7340 0.7340 0.7981  3 Sc 2.26
H2 0.2660 0.2660 0.2019  3 Sc 2.26
Pm1 0.5000 0.5000 0.5000  6 H 2.57

Values from the calculation:
E_tot in eV/atom: -4.788
Density of states at the Fermi level in states/eV per cell: 2.76

---

VASP calculation (GGA-PBE) on a relaxed Ac5YMg6 crystal.

Cell lengths 5.7410, 8.1394, 9.0954 Å; angles 90.00, 71.55, 90.00 degrees
With the nearest neighbours (Å) after each atom.
Positions (direct):
Y1 0.0000 0.0000 0.0000  8 Mg 3.40-3.46
Ac1 0.6698 0.5000 0.6609  8 Mg 3.56-3.63, 1 Ac 3.99
Ac2 0.3340 0.0000 0.3319  8 Mg 3.45-3.57
Ac3 0.0000 0.5000 0.0000  8 Mg 3.49-3.58
Ac4 0.6660 0.0000 0.6681  8 Mg 3.45-3.57
Ac5 0.3302 0.5000 0.3391  8 Mg 3.56-3.63, 1 Ac 3.99
Mg1 0.8390 0.7589 0.3219  1 Y 3.40, 7 Ac 3.48-3.60
Mg2 0.8390 0.2411 0.3219  1 Y 3.40, 7 Ac 3.48-3.60
Mg3 0.5000 0.2365 0.0000  6 Ac 3.45-3.63, 2 Y 3.46, 1 Mg 3.85
Mg4 0.5000 0.7635 0.0000  6 Ac 3.45-3.63, 2 Y 3.46, 1 Mg 3.85
Mg5 0.1610 0.7589 0.6781  1 Y 3.40, 7 Ac 3.48-3.60
Mg6 0.1610 0.2411 0.6781  1 Y 3.40, 7 Ac 3.48-3.60

Values from the calculation:
E_tot in eV/atom: -3.121
Density of states at the Fermi level in states/eV per cell: 13.48
E_form in eV/f.u.: -0.880